Record 1
Material: La3Pt2
Method: DFT, PBE-GGA
State: relaxed

Unit cell a=7.825 b=7.825 c=7.825 alpha=71.41 beta=71.41 gamma=71.41
Atoms (fractional coordinates):
La 0.000 0.000 0.000
La 0.163 0.393 0.669
La 0.201 0.201 0.201
La 0.331 0.837 0.607
La 0.393 0.669 0.163
La 0.607 0.331 0.837
La 0.669 0.163 0.393
La 0.799 0.799 0.799
La 0.837 0.607 0.331
Pt 0.043 0.833 0.411
Pt 0.167 0.589 0.957
Pt 0.411 0.043 0.833
Pt 0.589 0.957 0.167
Pt 0.833 0.411 0.043
Pt 0.957 0.167 0.589

## Properties
Uncorrected energy, eV/atom: -6.36
Crystal system: trigonal
Energy relative to the elements, meV per atom: -985



Record 2
Material: La7Pt3
Method: DFT, PBE-GGA
State: relaxed

Unit cell a=10.353 b=10.353 c=6.537 alpha=90.00 beta=90.00 gamma=120.00
Atoms (fractional coordinates):
La 0.074 0.537 0.000
La 0.126 0.253 0.698
La 0.126 0.874 0.698
La 0.253 0.126 0.198
La 0.333 0.667 0.482
La 0.463 0.537 0.000
La 0.463 0.926 0.000
La 0.537 0.074 0.500
La 0.537 0.463 0.500
La 0.667 0.333 0.982
La 0.747 0.874 0.698
La 0.874 0.126 0.198
La 0.874 0.747 0.198
La 0.926 0.463 0.500
Pt 0.188 0.377 0.247
Pt 0.188 0.812 0.247
Pt 0.377 0.188 0.747
Pt 0.623 0.812 0.247
Pt 0.812 0.188 0.747
Pt 0.812 0.623 0.747

## Properties
Uncorrected energy, eV/atom: -6.05
Crystal system: hexagonal
Energy relative to the elements, meV per atom: -789



Record 3
Material: La2Pt
Method: DFT, PBE-GGA
State: relaxed

Unit cell a=8.957 b=8.957 c=8.957 alpha=60.00 beta=60.00 gamma=60.00
Atoms (fractional coordinates):
La 0.000 0.000 0.000
La 0.000 0.000 0.500
La 0.000 0.500 0.000
La 0.500 0.000 0.000
Pt 0.125 0.125 0.125
Pt 0.875 0.875 0.875

## Properties
Uncorrected energy, eV/atom: -4.98
Crystal system: cubic
Energy relative to the elements, meV per atom: 324



Record 4
Material: LaPt
Method: DFT, PBE-GGA
State: relaxed

Unit cell a=4.639 b=4.639 c=4.639 alpha=60.00 beta=60.00 gamma=60.00
Atoms (fractional coordinates):
La 0.000 0.000 0.000
Pt 0.750 0.750 0.750

## Properties
Uncorrected energy, eV/atom: -6.10
Crystal system: cubic
Energy relative to the elements, meV per atom: -611



Record 5
Material: LaPuPt
Method: DFT, PBE-GGA
State: relaxed

Unit cell a=4.992 b=4.992 c=4.992 alpha=60.00 beta=60.00 gamma=60.00
Atoms (fractional coordinates):
La 0.000 0.000 0.000
Pu 0.500 0.500 0.500
Pt 0.250 0.250 0.250

## Properties
Uncorrected energy, eV/atom: -8.99
Crystal system: cubic
Energy relative to the elements, meV per atom: -624
Relative energy among the computed polymorphs, eV per atom: 0.0000



Record 6
Material: LaPuPt
Method: DFT, PBE-GGA
State: relaxed

Unit cell a=4.793 b=4.793 c=4.793 alpha=60.00 beta=60.00 gamma=60.00
Atoms (fractional coordinates):
La 0.000 0.000 0.000
Pu 0.250 0.250 0.250
Pt 0.750 0.750 0.750

## Properties
Uncorrected energy, eV/atom: -8.56
Crystal system: cubic
Energy relative to the elements, meV per atom: -191
Relative energy among the computed polymorphs, eV per atom: 0.4332